The following is a DFT calculation (PBE) of a geometry-optimized K2CrRu structure.

```
data_K2CrRu
_cell_length_a 3.0857
_cell_length_b 3.0857
_cell_length_c 35.1349
_cell_angle_alpha 90.00
_cell_angle_beta 90.00
_cell_angle_gamma 120.00
_space_group_name_H-M_alt 'R -3 m'
_space_group_IT_number 166
_space_group_name_Hall '-R 3 2"'
loop_
_atom_site_label
_atom_site_fract_x
_atom_site_fract_y
_atom_site_fract_z
K1 0.0000 0.0000 0.2438
Cr1 0.0000 0.0000 0.0000
Ru1 0.0000 0.0000 0.5000
```

Summary:
Calculated total energy: -3.887 eV/atom
Formation energy from the elements: 5.55 eV/f.u.
Size of the total moment: 5.53 μB/f.u.
Volume: 24.14 A^3/atom